The following is a DFT calculation (PBE-GGA) of NiPd2Pt5 after structural relaxation.

The structure belongs to space group I4/mmm (No. 139); the cell edges are 3.914, 3.914 and 15.775 Å and the angles 90.00°, 90.00° and 90.00°. Symmetry generates all atoms from Ni at (0.000, 0.000, 0.000), Pd at (0.000, 0.000, 0.252), Pt at (0.000, 0.000, 0.500) and Pt at (0.000, 0.500, 0.121).

Its energy of formation is -0.05 eV/atom. The calculation puts the density of states at the Fermi level at 29.3 states/eV per cell.